# 1
First-principles (PBE-GGA) data for crystalline Sm3ThPa2N6 at its relaxed geometry, as listed in the Alexandria database.

The structure in POSCAR format:
```
Sm3ThPa2N6
1.0
-1.658 -0.078 5.972
-3.019 -3.531 -4.103
5.300 -3.140 0.360
Pa N Th Sm
2 6 1 3
direct
0.667 0.333 0.000
0.333 0.667 0.000
0.726 0.726 0.225
0.274 0.274 0.775
0.076 0.425 0.226
0.924 0.575 0.774
0.575 0.924 0.774
0.425 0.076 0.226
0.000 0.000 0.000
0.166 0.834 0.500
0.500 0.500 0.500
0.834 0.166 0.500
```

space-group type: C2/m
E: -9.14 eV/atom


# 2
First-principles (PBE-GGA) data for crystalline SnH2S2 at its relaxed geometry, as listed in the Alexandria database.

The structure in POSCAR format:
```
SnH2S2
1.0
-5.321 -4.766 -2.104
5.200 -4.667 -2.576
0.138 -1.383 2.784
S H Sn
4 4 2
direct
0.180 0.320 0.000
0.820 0.680 0.000
0.680 0.180 0.000
0.320 0.820 0.000
0.635 0.135 0.500
0.365 0.865 0.500
0.135 0.365 0.500
0.865 0.635 0.500
0.000 0.000 0.000
0.500 0.500 0.000
```

space-group type: P4/mbm
E: -3.78 eV/atom


# 3
First-principles (PBE-GGA) data for crystalline Ac2GeHPt6 at its relaxed geometry, as listed in the Alexandria database.

The structure in POSCAR format:
```
Ac2GeHPt6
1.0
5.902 0.007 -0.017
-0.011 7.022 -0.799
2.959 2.958 4.157
Pt Ac H Ge
6 2 1 1
direct
0.231 0.186 0.044
0.725 0.186 0.044
0.231 0.186 0.538
0.275 0.814 0.956
0.769 0.814 0.956
0.769 0.814 0.462
0.223 0.670 0.554
0.777 0.330 0.446
0.000 0.000 0.000
0.500 0.500 0.000
```

space-group type: C2/m
E: -6.00 eV/atom


# 4
First-principles (PBE-GGA) data for crystalline Dy6Ho2Er3Pu at its relaxed geometry, as listed in the Alexandria database.

The structure in POSCAR format:
```
Dy6Ho2Er3Pu
1.0
-5.595 1.307 -2.033
2.583 -5.339 -1.404
-3.510 -3.318 10.576
Er Ho Pu Dy
3 2 1 6
direct
0.500 0.500 0.500
0.167 0.833 0.500
0.833 0.167 0.500
0.333 0.667 0.000
0.667 0.333 0.000
0.000 0.000 0.000
0.083 0.412 0.249
0.412 0.083 0.249
0.588 0.917 0.751
0.917 0.588 0.751
0.753 0.753 0.249
0.247 0.247 0.751
```

space-group type: C2/m
E: -5.36 eV/atom


# 5
First-principles (PBE-GGA) data for crystalline DyPuPd3 at its relaxed geometry, as listed in the Alexandria database.

The structure in POSCAR format:
```
DyPuPd3
1.0
5.568 0.000 0.000
0.000 8.468 -1.297
0.000 -4.715 9.629
Pd Dy Pu
12 4 4
direct
0.745 0.409 0.531
0.791 0.097 0.632
0.245 0.091 0.969
0.291 0.403 0.868
0.499 0.251 0.248
0.501 0.749 0.752
0.755 0.909 0.031
0.255 0.591 0.469
0.209 0.903 0.368
0.999 0.249 0.252
0.709 0.597 0.132
0.001 0.751 0.748
0.223 0.499 0.167
0.277 0.999 0.667
0.777 0.501 0.833
0.723 0.001 0.333
0.755 0.666 0.444
0.245 0.334 0.556
0.255 0.834 0.056
0.745 0.166 0.944
```

space-group type: P2_1/c
E: -7.53 eV/atom


# 6
First-principles (PBE-GGA) data for crystalline Fe2SiAs at its relaxed geometry, as listed in the Alexandria database.

The structure in POSCAR format:
```
Fe2SiAs
1.0
-1.108 -1.075 2.358
-0.675 -2.357 -1.391
5.231 -2.323 1.398
Fe Si As
2 1 1
direct
0.000 0.000 0.483
0.000 0.000 0.017
0.500 0.500 0.250
0.500 0.500 0.750
```

space-group type: P4/mmm
E: -6.85 eV/atom


# 7
First-principles (PBE-GGA) data for crystalline MnFe2Si at its relaxed geometry, as listed in the Alexandria database.

The structure in POSCAR format:
```
MnFe2Si
1.0
4.725 -0.006 -0.002
-2.195 4.184 -0.002
0.510 0.843 2.339
Fe Mn Si
2 1 1
direct
0.500 0.500 0.000
0.000 0.000 0.000
0.500 0.000 0.500
0.000 0.500 0.500
```

space-group type: C2/m
E: -7.99 eV/atom


# 8
First-principles (PBE-GGA) data for crystalline La8Pr4Mg at its relaxed geometry, as listed in the Alexandria database.

The structure in POSCAR format:
```
La8Pr4Mg
1.0
10.444 -0.001 -5.635
-6.742 9.766 -0.001
-2.917 -2.013 7.090
La Pr Mg
8 4 1
direct
0.838 0.170 0.008
0.661 0.830 0.992
0.162 0.830 0.992
0.524 0.762 0.286
0.162 0.332 0.992
0.339 0.170 0.008
0.476 0.238 0.714
0.838 0.668 0.008
0.000 0.000 0.000
0.000 0.500 0.000
0.500 0.500 0.000
0.500 0.000 0.000
0.000 0.500 0.500
```

space-group type: R-3m
E: -4.30 eV/atom


# 9
First-principles (PBE-GGA) data for crystalline SnRu2I at its relaxed geometry, as listed in the Alexandria database.

The structure in POSCAR format:
```
SnRu2I
1.0
-1.064 -0.570 5.744
1.952 -5.533 -0.188
6.041 -1.119 4.007
Ru I Sn
4 2 2
direct
0.375 0.366 0.750
0.116 0.625 0.250
0.875 0.884 0.750
0.634 0.125 0.250
0.750 0.250 0.500
0.000 0.000 0.000
0.500 0.500 0.000
0.250 0.750 0.500
```

space-group type: I-42d
E: -5.20 eV/atom


# 10
First-principles (PBE-GGA) data for crystalline Co2WCl at its relaxed geometry, as listed in the Alexandria database.

The structure in POSCAR format:
```
Co2WCl
1.0
0.000 3.007 3.007
3.007 0.000 3.007
3.007 3.007 0.000
Co W Cl
2 1 1
direct
0.750 0.750 0.750
0.250 0.250 0.250
0.500 0.500 0.500
0.000 0.000 0.000
```

space-group type: Fm-3m
E: -6.20 eV/atom


Look up the E of the tenth one.
-6.20 eV/atom